Density functional theory data (PBE-GGA) for an optimized crystal structure of SrLa3Pt.

Results
Energy of formation = -2.096 eV/f.u.
Calculated density = 6.36 g/cm3
Space-group type = C2/m
Relative energy among the computed polymorphs = 16 meV/atom

abc: 28.206 11.928 11.928
angles: 161.19 161.16 18.84
Sites, in units of the cell vectors:
Sr 0.796 0.035 0.965
Sr 0.204 0.965 0.035
Pt 0.514 0.143 0.857
Pt 0.486 0.857 0.143
La 0.351 0.600 0.400
La 0.649 0.400 0.600
La 0.018 0.409 0.591
La 0.982 0.591 0.409
La 0.692 0.510 0.490
La 0.308 0.490 0.510

Density functional theory data (PBE-GGA) for an optimized crystal structure of SrLa3Pt.

Results
Energy of formation = -1.915 eV/f.u.
Calculated density = 5.87 g/cm3
Space-group type = Imma
Relative energy among the computed polymorphs = 52 meV/atom

abc: 8.281 11.697 8.166
angles: 90.00 90.00 90.00
Sites, in units of the cell vectors:
Sr 0.500 0.250 0.447
Sr 0.000 0.750 0.947
Sr 0.500 0.750 0.553
Sr 0.000 0.250 0.053
Pt 0.000 0.000 0.500
Pt 0.500 0.500 0.000
Pt 0.500 0.000 0.000
Pt 0.000 0.500 0.500
La 0.250 0.022 0.750
La 0.250 0.522 0.250
La 0.250 0.978 0.250
La 0.750 0.522 0.250
La 0.750 0.978 0.250
La 0.750 0.478 0.750
La 0.750 0.022 0.750
La 0.250 0.478 0.750
La 0.500 0.250 0.956
La 0.000 0.750 0.456
La 0.500 0.750 0.044
La 0.000 0.250 0.544

Density functional theory data (PBE-GGA) for an optimized crystal structure of SrLa3Pt.

Results
Energy of formation = -1.870 eV/f.u.
Calculated density = 5.79 g/cm3
Space-group type = Pm-3m
Relative energy among the computed polymorphs = 61 meV/atom

abc: 5.854 5.854 5.854
angles: 90.00 90.00 90.00
Sites, in units of the cell vectors:
Sr 0.500 0.500 0.500
Pt 0.000 0.000 0.000
La 0.000 0.500 0.000
La 0.000 0.000 0.500
La 0.500 0.000 0.000